Entry 1:
Density functional theory data (PBE) for Sm6CdGe2Te3 after structural relaxation.

Fermi-level density of states: 6.763 states/eV/f.u.
ρ: 7.2 g cm⁻³
Symmetry: C2/m, No. 12
Raw total energy: -5.0444 eV per atom

a b c (Å): 9.832 9.832 8.880
angles (deg): 104.40 104.40 25.54
Element x y z (fractional)
Sm: 0.008 0.008 0.261
Sm: 0.327 0.327 0.433
Sm: 0.330 0.330 0.895
Sm: 0.670 0.670 0.105
Sm: 0.673 0.673 0.567
Sm: 0.992 0.992 0.739
Cd: 0.500 0.500 0.000
Ge: 0.166 0.166 0.331
Ge: 0.834 0.834 0.669
Te: 0.164 0.164 0.832
Te: 0.500 0.500 0.500
Te: 0.836 0.836 0.168

=====

Entry 2:
Density functional theory data (PBE) for InSiHg after structural relaxation.

Fermi-level density of states: 1.297 states/eV/f.u.
ρ: 8.5 g cm⁻³
Symmetry: I4mm, No. 107
Energy above the most stable polymorph in this dataset: 216 meV per atom

a b c (Å): 6.685 6.685 6.685
angles (deg): 151.65 151.65 40.53
Element x y z (fractional)
In: 0.000 0.000 0.000
Si: 0.658 0.658 0.000
Hg: 0.310 0.310 0.000

=====

Entry 3:
Density functional theory data (PBE) for Ce8Pu3Zn2 after structural relaxation.

Fermi-level density of states: 32.367 states/eV/f.u.
ρ: 10.4 g cm⁻³
Symmetry: P-1, No. 2
E_form: -7 meV/atom

a b c (Å): 5.997 6.660 8.351
angles (deg): 80.76 77.20 79.15
Element x y z (fractional)
Ce: 0.050 0.085 0.134
Ce: 0.130 0.560 0.306
Ce: 0.362 0.669 0.629
Ce: 0.423 0.154 0.763
Ce: 0.577 0.846 0.237
Ce: 0.638 0.331 0.371
Ce: 0.870 0.440 0.694
Ce: 0.950 0.915 0.866
Pu: 0.000 0.500 0.000
Pu: 0.475 0.727 0.966
Pu: 0.525 0.273 0.034
Zn: 0.169 0.108 0.475
Zn: 0.831 0.892 0.525

=====

What did the second record say?
Density functional theory data (PBE) for InSiHg after structural relaxation.

Fermi-level density of states: 1.297 states/eV/f.u.
ρ: 8.5 g cm⁻³
Symmetry: I4mm, No. 107
Energy above the most stable polymorph in this dataset: 216 meV per atom

a b c (Å): 6.685 6.685 6.685
angles (deg): 151.65 151.65 40.53
Element x y z (fractional)
In: 0.000 0.000 0.000
Si: 0.658 0.658 0.000
Hg: 0.310 0.310 0.000